#a
Material: LiSi2
Method: DFT, PBE
State: relaxed

```
LiSi2
1.0
3.749 0.000 -0.842
-0.189 3.744 -0.842
-0.260 -0.274 7.605
Li Si
2 4
Direct
0.750 0.250 0.500 Li
0.000 0.000 0.000 Li
0.170 0.670 0.339 Si
0.580 0.580 0.161 Si
0.330 0.830 0.661 Si
0.420 0.420 0.839 Si
```

Crystal system: tetragonal
Space group: I4_1/amd (141)
Total magnetic moment, μB/f.u.: 0.000


#b
Material: LiSi2
Method: DFT, PBE
State: relaxed

```
LiSi2
1.0
-1.551 -0.747 2.475
3.015 -0.048 0.038
0.069 5.689 1.760
Li Si
1 2
Direct
0.000 0.000 0.000 Li
0.667 0.333 0.649 Si
0.333 0.667 0.351 Si
```

Crystal system: trigonal
Space group: P-3m1 (164)
Total magnetic moment, μB/f.u.: 0.000


The most stable arrangement is #a, and the next structure is 5.7 kJ/mol of atoms less stable.


#a
Material: MgMn2Cl
Method: DFT, PBE
State: relaxed

```
MgMn2Cl
1.0
3.031 0.000 0.000
0.000 3.031 0.000
0.000 0.000 7.805
Cl Mg Mn
1 1 2
Direct
0.500 0.500 0.250 Cl
0.500 0.500 0.750 Mg
0.000 0.000 0.007 Mn
0.000 0.000 0.493 Mn
```

Crystal system: tetragonal
Space group: P4/mmm (123)
Total magnetic moment, μB/f.u.: 7.884


#b
Material: MgMn2Cl
Method: DFT, PBE
State: relaxed

```
MgMn2Cl
1.0
-1.988 1.538 1.771
1.917 -1.904 1.467
5.695 6.386 0.847
Cl Mg Mn
1 1 2
Direct
0.500 0.500 0.250 Cl
0.500 0.500 0.750 Mg
0.000 0.000 0.016 Mn
0.000 0.000 0.484 Mn
```

Crystal system: orthorhombic
Space group: Cmmm (65)
Total magnetic moment, μB/f.u.: 8.094


The most stable arrangement is #b, and the next structure is 3.5 kJ/mol of atoms less stable.


#a
Material: Mg2Nb2Si
Method: DFT, PBE
State: relaxed

```
Mg2Nb2Si
1.0
6.597 0.000 0.000
0.000 6.597 0.000
0.000 0.000 4.576
Mg Nb Si
4 4 2
Direct
0.158 0.658 0.500 Mg
0.658 0.842 0.500 Mg
0.842 0.342 0.500 Mg
0.342 0.158 0.500 Mg
0.353 0.853 0.000 Nb
0.853 0.647 0.000 Nb
0.647 0.147 0.000 Nb
0.147 0.353 0.000 Nb
0.000 0.000 0.000 Si
0.500 0.500 0.000 Si
```

Crystal system: tetragonal
Space group: P4/mbm (127)
Total magnetic moment, μB/f.u.: 0.000


#b
Material: Mg2Nb2Si
Method: DFT, PBE
State: relaxed

```
Mg2Nb2Si
1.0
3.664 0.000 0.000
0.000 3.664 0.000
1.832 1.832 7.209
Mg Nb Si
2 2 1
Direct
0.750 0.250 0.500 Mg
0.250 0.750 0.500 Mg
0.417 0.417 0.165 Nb
0.583 0.583 0.835 Nb
0.000 0.000 0.000 Si
```

Crystal system: tetragonal
Space group: I4/mmm (139)
Total magnetic moment, μB/f.u.: 0.000


The most stable arrangement is #a, and the next structure is 32.4 kJ/mol of atoms less stable.


#a
Material: GaSiH2
Method: DFT, PBE
State: relaxed

```
GaSiH2
1.0
-3.703 -1.416 -2.023
0.756 -4.373 1.024
-2.979 -1.385 6.093
Ga Si H
2 2 4
Direct
0.202 0.240 0.778 Ga
0.202 0.811 0.630 Ga
0.794 0.074 0.387 Si
0.796 0.260 0.024 Si
0.671 0.590 0.983 H
0.520 0.103 0.973 H
0.520 0.866 0.433 H
0.668 0.357 0.436 H
```

Crystal system: triclinic
Space group: P1 (1)
Total magnetic moment, μB/f.u.: 0.000


#b
Material: GaSiH2
Method: DFT, PBE
State: relaxed

```
GaSiH2
1.0
-1.484 1.190 -4.008
-2.360 -2.960 2.405
-2.388 5.248 2.943
Ga Si H
2 2 4
Direct
0.650 0.325 0.533 Ga
0.350 0.675 0.467 Ga
0.888 0.531 0.159 Si
0.112 0.469 0.841 Si
0.137 0.146 0.835 H
0.863 0.854 0.165 H
0.479 0.765 0.885 H
0.521 0.235 0.115 H
```

Crystal system: triclinic
Space group: P-1 (2)
Total magnetic moment, μB/f.u.: 0.000


The most stable arrangement is #b, and the next structure is 1.9 kJ/mol of atoms less stable.